Model a:
Sc2WCl | PBE | optimized geometry

The spin magnetization is 0.2 μB/f.u. Its crystal system is trigonal. The calculation puts the volume at 76.9 Å³/f.u.

It has space group R-3m (No. 166, hexagonal axes), with a = 3.2673 Å, b = 3.2673 Å, c = 24.9381 Å, α = 90.00°, β = 90.00° and γ = 120.00°. Symmetry generates all atoms from Sc at (0.0000, 0.0000, 0.2494), W at (0.0000, 0.0000, 0.0000) and Cl at (0.0000, 0.0000, 0.5000).

***

Model b:
Sc2WCl | PBE | optimized geometry

The spin magnetization is 0.0 μB/f.u. Its crystal system is monoclinic. The calculation puts the volume at 77.1 Å³/f.u.

It has space group Cm (No. 8), with a = 10.299 Å, b = 3.092 Å, c = 4.846 Å, α = 90.00°, β = 91.45° and γ = 90.00°. Symmetry generates all atoms from Sc at (0.000, 0.000, 0.000), Sc at (0.211, 0.500, 0.518), W at (0.257, 0.000, 0.020) and Cl at (0.453, 0.000, 0.522).

***

Of them, model a has the highest stability.